1.
TbGdS2: optimized geometry, PBE-GGA.

Computed properties:
DFT total energy, eV/atom: -6.40

Lattice parameters (Å, degrees): 3.933 3.933 5.565 90.00 90.00 90.00
Space group P4/mmm (No. 123)
Inequivalent atoms, fractional coordinates:
Tb (0.000, 0.000, 0.000) x1
Gd (0.500, 0.500, 0.500) x1
S (0.000, 0.000, 0.500) x1
S (0.500, 0.500, 0.000) x1


2.
RbInPdSe3: optimized geometry, PBE-GGA.

Computed properties:
Energy relative to the lowest polymorph listed for this composition, meV per atom: 4

Lattice parameters (Å, degrees): 14.751 4.339 11.475 90.00 90.00 90.00
Space group Pnma (No. 62)
Inequivalent atoms, fractional coordinates:
Rb (0.226, 0.250, 0.030) x4
In (0.026, 0.250, 0.365) x4
Pd (0.024, 0.750, 0.077) x4
Se (0.046, 0.750, 0.862) x4
Se (0.098, 0.250, 0.578) x4
Se (0.118, 0.750, 0.256) x4


3.
CdNiBPt: optimized geometry, PBE-GGA.

Computed properties:
Energy relative to the lowest polymorph listed for this composition, meV per atom: 49

Lattice parameters (Å, degrees): 5.996 5.996 5.996 90.00 90.00 90.00
Space group F-43m (No. 216)
Inequivalent atoms, fractional coordinates:
Cd (0.000, 0.000, 0.000) x4
Ni (0.250, 0.250, 0.750) x4
B (0.000, 0.000, 0.500) x4
Pt (0.250, 0.250, 0.250) x4


4.
Ho4Si2S3O7: optimized geometry, PBE-GGA.

Computed properties:
DFT total energy, eV/atom: -7.63

Lattice parameters (Å, degrees): 11.617 11.617 13.528 90.00 90.00 90.00
Space group I4_1/amd (No. 141, origin choice 2)
Inequivalent atoms, fractional coordinates:
Ho (0.000, 0.015, 0.341) x16
Ho (0.173, 0.077, 0.875) x16
Si (0.000, 0.125, 0.096) x16
S (0.000, 0.250, 0.375) x4
S (0.000, 0.250, 0.875) x4
S (0.146, 0.000, 0.500) x16
O (0.000, 0.016, 0.174) x16
O (0.000, 0.250, 0.151) x8
O (0.124, 0.109, 0.041) x32


5.
AlCo3: optimized geometry, PBE-GGA.

Computed properties:
DFT total energy, eV/atom: -6.45

Lattice parameters (Å, degrees): 3.561 3.561 3.561 90.00 90.00 90.00
Space group Pm-3m (No. 221)
Inequivalent atoms, fractional coordinates:
Al (0.000, 0.000, 0.000) x1
Co (0.000, 0.500, 0.500) x3


6.
PmNpSn: optimized geometry, PBE-GGA.

Computed properties:
DFT total energy, eV/atom: -6.67

Lattice parameters (Å, degrees): 7.324 7.324 7.324 90.00 90.00 90.00
Space group F-43m (No. 216)
Inequivalent atoms, fractional coordinates:
Pm (0.000, 0.000, 0.000) x4
Np (0.250, 0.250, 0.750) x4
Sn (0.250, 0.250, 0.250) x4


7.
NaHg3IrO4: optimized geometry, PBE-GGA.

Computed properties:
DFT total energy, eV/atom: -3.36

Lattice parameters (Å, degrees): 5.539 5.539 5.539 90.00 90.00 90.00
Space group P-43m (No. 215)
Inequivalent atoms, fractional coordinates:
Na (0.000, 0.000, 0.000) x1
Hg (0.000, 0.500, 0.500) x3
Ir (0.500, 0.500, 0.500) x1
O (0.258, 0.258, 0.258) x4


8.
HoTmInC: optimized geometry, PBE-GGA.

Computed properties:
DFT total energy, eV/atom: -5.68

Lattice parameters (Å, degrees): 3.5591 3.5591 16.2207 90.00 90.00 120.00
Space group P-6m2 (No. 187)
Inequivalent atoms, fractional coordinates:
Ho (0.0000, 0.0000, 0.1687) x2
Tm (0.3333, 0.6667, 0.3332) x2
In (0.0000, 0.0000, 0.5000) x1
In (0.3333, 0.6667, 0.0000) x1
C (0.6667, 0.3333, 0.2513) x2


9.
Al25Re4: optimized geometry, PBE-GGA.

Computed properties:
DFT total energy, eV/atom: -4.92

Lattice parameters (Å, degrees): 9.613 9.613 9.613 90.00 90.00 90.00
Space group I-43m (No. 217)
Inequivalent atoms, fractional coordinates:
Al (0.000, 0.000, 0.000) x2
Al (0.051, 0.367, 0.633) x24
Al (0.094, 0.094, 0.718) x24
Re (0.182, 0.182, 0.182) x8


10.
Pr2AlSnPt4: optimized geometry, PBE-GGA.

Computed properties:
DFT total energy, eV/atom: -6.17

Lattice parameters (Å, degrees): 4.5204 4.5204 9.5955 90.00 90.00 120.00
Space group P-3m1 (No. 164)
Inequivalent atoms, fractional coordinates:
Pr (0.3333, 0.6667, 0.2533) x2
Al (0.0000, 0.0000, 0.5000) x1
Sn (0.0000, 0.0000, 0.0000) x1
Pt (0.3333, 0.6667, 0.5729) x2
Pt (0.3333, 0.6667, 0.9123) x2


11.
LaPaNO: optimized geometry, PBE-GGA.

Computed properties:
Energy relative to the lowest polymorph listed for this composition, meV per atom: 303

Lattice parameters (Å, degrees): 4.261 4.261 8.860 90.00 90.00 90.00
Space group P4/nmm (No. 129, origin choice 2)
Inequivalent atoms, fractional coordinates:
La (0.250, 0.250, 0.125) x2
Pa (0.250, 0.750, 0.500) x2
N (0.250, 0.250, 0.628) x2
O (0.250, 0.750, 0.000) x2


12.
Dy2GaNiI2: optimized geometry, PBE-GGA.

Computed properties:
DFT total energy, eV/atom: -4.47

Lattice parameters (Å, degrees): 4.1506 4.1506 12.0001 90.00 90.00 120.00
Space group P3m1 (No. 156)
Inequivalent atoms, fractional coordinates:
Dy (0.0000, 0.0000, 0.0000) x1
Dy (0.0000, 0.0000, 0.3056) x1
Ga (0.3333, 0.6667, 0.1501) x1
Ni (0.6667, 0.3333, 0.1572) x1
I (0.3333, 0.6667, 0.4810) x1
I (0.6667, 0.3333, 0.8264) x1


> What is the formula in the second record?

RbInPdSe3


> Number 5 is which compound?

AlCo3